No. 1
The following is a PBE calculation of a relaxed Ho8Er2In crystal, from the Alexandria database.

Summary:
The energy is -4.462 eV/atom. As for the energy relative to the elements: -57.3 kJ/mol of formula units. For the density of states at the Fermi level, the calculation gives 30.1 states/eV/cell. As for the density: 8.76 g/cm3. For the energy above the most stable polymorph in this dataset, the calculation gives 0.000 eV/atom.

a = 19.1981 Å, b = 5.4972 Å, c = 6.3757 Å
α = 90.00°, β = 94.86°, γ = 90.00°
Last column: nearest neighbours and their distance in Å.
Space group C2/m (No. 12)
Unique sites:
1 Ho 0.0448 0.0000 0.2641 [4 per cell]  2 In 3.30, 4 Ho 3.49-3.65
2 Ho 0.0791 0.5000 0.5953 [4 per cell]  1 In 3.10, 3 Ho 3.18-3.33, 1 Er 3.41
3 Ho 0.1539 0.0000 0.8043 [4 per cell]  5 Ho 3.33-3.53, 4 Er 3.55-3.66
4 Ho 0.1620 0.5000 0.1216 [4 per cell]  1 In 3.14, 2 Er 3.39, 2 Ho 3.41
5 Er 0.2429 0.0000 0.3353 [4 per cell]  10 Ho 3.39-3.79, 2 Er 3.46
6 In 0.0000 0.5000 0.0000 [2 per cell]  8 Ho 3.10-3.30

=====

No. 2
The following is a PBE calculation of a relaxed Ca2VN2 crystal, from the Alexandria database.

Summary:
The energy is -6.860 eV/atom. For the density of states at the Fermi level, the calculation gives 10.2 states/eV/cell. As for the density: 3.25 g/cm3. The value obtained for the formation energy from raw total energies is -0.906 eV per atom.

a = 10.8468 Å, b = 5.1008 Å, c = 6.6128 Å
α = 90.00°, β = 117.23°, γ = 90.00°
Last column: nearest neighbours and their distance in Å.
Space group C2/m (No. 12)
Unique sites:
1 Ca 0.0266 0.0000 0.2661 [4 per cell]  4 N 2.37-2.60
2 Ca 0.1796 0.5000 0.1189 [4 per cell]  5 N 2.52-2.63
3 V 0.1378 0.5000 0.6268 [4 per cell]  3 N 1.81-2.02
4 N 0.0040 0.5000 0.2911 [4 per cell]  2 V 1.85-2.02
5 N 0.1926 0.0000 0.1272 [4 per cell]  1 V 1.81

=====

What did the second record say?
The following is a PBE calculation of a relaxed Ca2VN2 crystal, from the Alexandria database.

Summary:
The energy is -6.860 eV/atom. For the density of states at the Fermi level, the calculation gives 10.2 states/eV/cell. As for the density: 3.25 g/cm3. The value obtained for the formation energy from raw total energies is -0.906 eV per atom.

a = 10.8468 Å, b = 5.1008 Å, c = 6.6128 Å
α = 90.00°, β = 117.23°, γ = 90.00°
Last column: nearest neighbours and their distance in Å.
Space group C2/m (No. 12)
Unique sites:
1 Ca 0.0266 0.0000 0.2661 [4 per cell]  4 N 2.37-2.60
2 Ca 0.1796 0.5000 0.1189 [4 per cell]  5 N 2.52-2.63
3 V 0.1378 0.5000 0.6268 [4 per cell]  3 N 1.81-2.02
4 N 0.0040 0.5000 0.2911 [4 per cell]  2 V 1.85-2.02
5 N 0.1926 0.0000 0.1272 [4 per cell]  1 V 1.81

=====

Copy entry 1 word for word.
The following is a PBE calculation of a relaxed Ho8Er2In crystal, from the Alexandria database.

Summary:
The energy is -4.462 eV/atom. As for the energy relative to the elements: -57.3 kJ/mol of formula units. For the density of states at the Fermi level, the calculation gives 30.1 states/eV/cell. As for the density: 8.76 g/cm3. For the energy above the most stable polymorph in this dataset, the calculation gives 0.000 eV/atom.

a = 19.1981 Å, b = 5.4972 Å, c = 6.3757 Å
α = 90.00°, β = 94.86°, γ = 90.00°
Last column: nearest neighbours and their distance in Å.
Space group C2/m (No. 12)
Unique sites:
1 Ho 0.0448 0.0000 0.2641 [4 per cell]  2 In 3.30, 4 Ho 3.49-3.65
2 Ho 0.0791 0.5000 0.5953 [4 per cell]  1 In 3.10, 3 Ho 3.18-3.33, 1 Er 3.41
3 Ho 0.1539 0.0000 0.8043 [4 per cell]  5 Ho 3.33-3.53, 4 Er 3.55-3.66
4 Ho 0.1620 0.5000 0.1216 [4 per cell]  1 In 3.14, 2 Er 3.39, 2 Ho 3.41
5 Er 0.2429 0.0000 0.3353 [4 per cell]  10 Ho 3.39-3.79, 2 Er 3.46
6 In 0.0000 0.5000 0.0000 [2 per cell]  8 Ho 3.10-3.30

=====

Among the records above, which one has the highest energy? Ho8Er2In